Record 1
Co2Ir2Pd, relaxed, DFT PBE; M_tot = 0.7 μB per formula unit; E above lowest polymorph = 205 meV per atom; space-group type = I4/mmm
1.0
-1.7010 1.7010 6.0867
1.7010 -1.7010 6.0867
1.7010 1.7010 -6.0867
Co Ir Pd
2 2 1
direct
0.2500 0.7500 0.5000
0.7500 0.2500 0.5000
0.1051 0.1051 0.0000
0.8949 0.8949 0.0000
0.5000 0.5000 0.0000


Record 2
Mg2AlAs, relaxed, DFT PBE; M_tot = 0.0 μB per formula unit; E above lowest polymorph = 186 meV per atom; space-group type = F-43m
1.0
0.0000 3.4487 3.4487
3.4487 0.0000 3.4487
3.4487 3.4487 0.0000
Mg Al As
2 1 1
direct
0.0000 0.0000 0.0000
0.2500 0.2500 0.2500
0.5000 0.5000 0.5000
0.7500 0.7500 0.7500


Record 3
Hg2MoAu, relaxed, DFT PBE; M_tot = 0.0 μB per formula unit; E above lowest polymorph = 0 meV per atom; space-group type = P4mm
1.0
2.9155 0.0000 0.0000
0.0000 2.9155 0.0000
0.0000 0.0000 9.1265
Hg Mo Au
2 1 1
direct
0.0000 0.0000 0.0000
0.5000 0.5000 0.2863
0.0000 0.0000 0.5248
0.5000 0.5000 0.7401


Number 1: D(E_F) 7.1 states/eV per cell. Number 2: D(E_F) 2.0 states/eV per cell. Number 3: D(E_F) 2.2 states/eV per cell.